[1]
A relaxed structure of TaIn2Co. Source: the Alexandria database, functional GGA-PBE.

Computed properties:
SG: F-43m
E_form (eV per atom): 0.489

a b c (Å): 4.6668 4.6668 4.6668
angles (deg): 60.00 60.00 60.00
Closest atoms and distances in Å follow each position.
Fractional coordinates of all 4 atoms:
Ta 0.0000 0.0000 0.0000  4 In 2.86, 4 Co 2.86
In 0.2500 0.2500 0.2500  4 Ta 2.86, 4 In 2.86
In 0.5000 0.5000 0.5000  4 Co 2.86, 4 In 2.86
Co 0.7500 0.7500 0.7500  4 In 2.86, 4 Ta 2.86


[2]
A relaxed structure of TaIn2Co. Source: the Alexandria database, functional GGA-PBE.

Computed properties:
SG: P4/mmm
E_form (eV per atom): 0.409

a b c (Å): 4.7856 4.7856 3.1583
angles (deg): 90.00 90.00 90.00
Closest atoms and distances in Å follow each position.
Fractional coordinates of all 4 atoms:
Ta 0.0000 0.0000 0.0000  8 In 2.87, 2 Ta 3.16
In 0.0000 0.5000 0.5000  4 Ta 2.87, 4 Co 2.87, 2 In 3.16
In 0.5000 0.0000 0.5000  4 Ta 2.87, 4 Co 2.87, 2 In 3.16
Co 0.5000 0.5000 0.0000  8 In 2.87, 2 Co 3.16


[3]
A relaxed structure of TaIn2Co. Source: the Alexandria database, functional GGA-PBE.

Computed properties:
SG: P2/m
E_form (eV per atom): 0.361

a b c (Å): 3.0005 4.3616 5.6765
angles (deg): 90.00 102.60 90.00
Closest atoms and distances in Å follow each position.
Fractional coordinates of all 4 atoms:
Ta 0.0000 0.0000 0.0000  2 Co 2.91, 8 In 2.95-3.10, 2 Ta 3.00
In 0.3430 0.5000 0.7369  2 Co 2.66, 1 In 2.93, 2 Ta 2.95
In 0.6570 0.5000 0.2631  2 Co 2.66, 1 In 2.93, 2 Ta 2.95
Co 0.5000 0.0000 0.5000  4 In 2.66, 2 Ta 2.91


[4]
A relaxed structure of TaIn2Co. Source: the Alexandria database, functional GGA-PBE.

Computed properties:
SG: P4/mmm
E_form (eV per atom): 0.214

a b c (Å): 3.0477 3.0477 7.5128
angles (deg): 90.00 90.00 90.00
Closest atoms and distances in Å follow each position.
Fractional coordinates of all 4 atoms:
Ta 0.0000 0.0000 0.0000  8 In 3.04, 4 Ta 3.05
In 0.5000 0.5000 0.2849  4 Co 2.69
In 0.5000 0.5000 0.7151  4 Co 2.69
Co 0.0000 0.0000 0.5000  8 In 2.69


[5]
A relaxed structure of TaInCo3. Source: the Alexandria database, functional GGA-PBE.

Computed properties:
Excess energy over the best structure of this formula in the dataset (meV/atom): 521.6
SG: Pm-3m
E_form (eV per atom): 1.677

a b c (Å): 4.5034 4.5034 4.5034
angles (deg): 90.00 90.00 90.00
Closest atoms and distances in Å follow each position.
Fractional coordinates of all 5 atoms:
Ta 0.0000 0.0000 0.0000  12 Co 3.18
In 0.5000 0.5000 0.5000  6 Co 2.25
Co 0.0000 0.5000 0.5000  2 In 2.25
Co 0.5000 0.0000 0.5000  2 In 2.25
Co 0.5000 0.5000 0.0000  2 In 2.25


[6]
A relaxed structure of TaIn2Co. Source: the Alexandria database, functional GGA-PBE.

Computed properties:
SG: P4mm
E_form (eV per atom): 0.105

a b c (Å): 3.0652 3.0652 8.0510
angles (deg): 90.00 90.00 90.00
Closest atoms and distances in Å follow each position.
Fractional coordinates of all 4 atoms:
Ta 0.0000 0.0000 0.0000  4 Co 2.54
In 0.0000 0.0000 0.3918  4 Co 2.84, 4 In 3.07, 1 Ta 3.15
In 0.5000 0.5000 0.7265  4 In 3.07, 4 Ta 3.09
Co 0.5000 0.5000 0.1647  4 Ta 2.54, 4 In 2.84


[7]
A relaxed structure of TaIn2Co. Source: the Alexandria database, functional GGA-PBE.

Computed properties:
SG: Cmmm
E_form (eV per atom): 0.342

a b c (Å): 5.1460 5.1460 2.9527
angles (deg): 90.00 90.00 110.48
Closest atoms and distances in Å follow each position.
Fractional coordinates of all 4 atoms:
Ta 0.0000 0.0000 0.0000  2 Co 2.93, 2 Ta 2.95, 8 In 2.97
In 0.0000 0.5000 0.5000  4 In 2.93-2.95, 4 Co 2.97, 4 Ta 2.97
In 0.5000 0.0000 0.5000  4 In 2.93-2.95, 4 Co 2.97, 4 Ta 2.97
Co 0.5000 0.5000 0.0000  2 Ta 2.93, 2 Co 2.95, 8 In 2.97


[8]
A relaxed structure of TaIn2Co. Source: the Alexandria database, functional GGA-PBE.

Computed properties:
SG: Pm
E_form (eV per atom): 0.291

a b c (Å): 3.0498 4.2166 5.8633
angles (deg): 90.00 100.55 90.00
Closest atoms and distances in Å follow each position.
Fractional coordinates of all 4 atoms:
Ta 0.0000 0.0000 0.0000  2 Co 2.50
In 0.4138 0.5000 0.7451  1 Co 2.72, 4 Ta 2.98-2.99, 2 In 3.04
In 0.7574 0.0000 0.4489  2 Co 2.79, 1 Ta 2.86, 4 In 3.04-3.05
Co 0.3079 0.5000 0.1950  2 Ta 2.50, 3 In 2.72-2.79